Entry from the Alexandria database: Ca3CoSe4O12 at its PBEsol-relaxed geometry (meta-GGA SCAN).

Unit cell a=7.5499 b=7.5499 c=12.4788 alpha=107.61 beta=107.61 gamma=90.00
With the nearest neighbours (Å) after each atom.
Positions (direct):
O: 0.2371 0.9536 0.0975  1 Se 1.75, 1 Co 1.94
Se: 0.6134 0.7675 0.8671  3 O 1.70-1.75
Ca: 0.6758 0.6758 0.3515  6 O 2.30-2.53
Co: 0.0000 0.0000 0.0000  4 O 1.94
O: 0.8560 0.7629 0.9025  1 Se 1.75, 1 Co 1.94
O: 0.5273 0.3018 0.3102  1 Se 1.70
O: 0.3896 0.6060 0.4025  1 Se 1.75, 1 Co 1.94
O: 0.9916 0.4727 0.6898  1 Se 1.70
Co: 0.2500 0.7500 0.5000  4 O 1.94
Ca: 0.9258 0.4258 0.8515  6 O 2.30-2.53
O: 0.3940 0.9871 0.5975  1 Se 1.75, 1 Co 1.94
Ca: 0.5000 0.5000 0.0000  8 O 2.38-2.60
O: 0.7829 0.0084 0.3102  1 Se 1.70
O: 0.5518 0.5329 0.8102  1 Se 1.70
O: 0.1951 0.5784 0.9994  1 Se 1.70
O: 0.7227 0.4482 0.1898  1 Se 1.70
O: 0.2584 0.2773 0.8102  1 Se 1.70
O: 0.6982 0.2171 0.6898  1 Se 1.70
O: 0.0464 0.1396 0.9025  1 Se 1.75, 1 Co 1.94
Se: 0.2325 0.7463 0.1329  3 O 1.70-1.75
O: 0.0549 0.1716 0.5006  1 Se 1.70
O: 0.8284 0.5543 0.4994  1 Se 1.70
O: 0.4216 0.1957 0.0006  1 Se 1.70
O: 0.5790 0.8049 0.0006  1 Se 1.70
Ca: 0.3242 0.3242 0.6485  6 O 2.30-2.53
O: 0.8604 0.1440 0.0975  1 Se 1.75, 1 Co 1.94
Se: 0.9004 0.3866 0.1329  3 O 1.70-1.75
Se: 0.9963 0.6504 0.6329  3 O 1.70-1.75
O: 0.2036 0.6104 0.5975  1 Se 1.75, 1 Co 1.94
Se: 0.3496 0.3634 0.3671  3 O 1.70-1.75
Se: 0.0175 0.0037 0.3671  3 O 1.70-1.75
O: 0.0129 0.7964 0.4025  1 Se 1.75, 1 Co 1.94
Se: 0.2537 0.0996 0.8671  3 O 1.70-1.75
O: 0.6710 0.9451 0.4994  1 Se 1.70
Ca: 0.5742 0.0742 0.1485  6 O 2.30-2.53
Ca: 0.7500 0.2500 0.5000  8 O 2.38-2.60
O: 0.4671 0.7416 0.1898  1 Se 1.70
O: 0.8043 0.4210 0.9994  1 Se 1.70
Se: 0.6366 0.9825 0.6329  3 O 1.70-1.75
O: 0.4457 0.3290 0.5006  1 Se 1.70

## Properties
The calculation puts the magnetic moment at 3.00 μB/f.u. The calculation puts the total DFT energy (no corrections) at -11.895 eV/atom. For the raw formation energy, the calculation gives -1.83 eV per atom.